Crystalline InCo2Ir at its relaxed geometry. Source: Alexandria, functional PBE-GGA.

The structure in CIF format:
```
data_InCo2Ir
_chemical_formula_sum 'In2 Co4 Ir2'
_symmetry_space_group_name_H-M 'I m m m'
_symmetry_Int_Tables_number 71
_symmetry_space_group_name_Hall '-I 2 2'
_cell_length_a 3.029
_cell_length_b 4.416
_cell_length_c 8.705
_cell_angle_alpha 90.00
_cell_angle_beta 90.00
_cell_angle_gamma 90.00
loop_
_atom_site_label
_atom_site_fract_x
_atom_site_fract_y
_atom_site_fract_z
In1 0.000 0.000 0.000
Co1 0.000 0.500 0.246
Ir1 0.000 0.000 0.500
```

Computed properties:
Total magnetization: 7.6 μB/cell
ΔE_f: 1.01 eV/f.u.